Record 1
## PmDy3 (PBE)

Data for crystalline PmDy3 at its relaxed geometry.

## Properties
**Total energy**: -18.49 eV/f.u.
**DFT formation energy**: 17 meV/atom
**Excess energy over the best structure of this formula in the dataset**: 4 meV/atom
**Symmetry**: No. 44

Cell: 3.6406 6.2759 6.7607 Å, 117.66 105.62 90.00°
Fractional positions:
Dy 0.7514 0.0848 0.5028
Dy 0.5000 0.5012 0.0000
Dy 0.2486 0.5819 0.4972
Pm 0.0000 0.9988 0.0000



Record 2
## BaZnSe3 (PBE)

Data for crystalline BaZnSe3 at its relaxed geometry.

## Properties
**Total energy**: -17.54 eV/f.u.
**Uncorrected formation energy**: -0.778 eV per atom
**Excess energy over the best structure of this formula in the dataset**: 0 meV/atom
**Symmetry**: No. 221

Cell: 5.1071 5.1071 5.1071 Å, 90.00 90.00 90.00°
Fractional positions:
Se 0.0000 0.5000 0.0000
Se 0.5000 0.0000 0.0000
Se 0.0000 0.0000 0.5000
Zn 0.0000 0.0000 0.0000
Ba 0.5000 0.5000 0.5000



Record 3
## CsHRuF6 (PBE)

Data for crystalline CsHRuF6 at its relaxed geometry.

## Properties
**Total energy**: -42.63 eV/f.u.
**Symmetry**: No. 1

Cell: 5.9554 5.7391 6.0147 Å, 78.51 87.24 50.13°
Site moments in Bohr magnetons follow the coordinates.
Fractional positions:
F 0.5194 0.0113 0.2843  0.01
F 0.3914 0.9558 0.7256  0.12
F 0.2927 0.6090 0.2998  0.13
F 0.9166 0.4935 0.4221  0.01
F 0.2183 0.5004 0.7720  0.07
F 0.7443 0.1101 0.6055  0.06
Cs 0.8454 0.2761 0.0034  0.00
Ru 0.3494 0.2873 0.5266  1.50
H 0.7222 0.7565 0.3606  0.00



Record 4
## MgTlIn2Ir (PBE)

Data for crystalline MgTlIn2Ir at its relaxed geometry.

## Properties
**Total energy**: -18.82 eV/f.u.
**DFT formation energy**: -103 meV/atom
**Symmetry**: No. 123

Cell: 5.1798 5.1798 5.1102 Å, 90.00 90.00 90.00°
Fractional positions:
In 0.0000 0.5000 0.0000
In 0.5000 0.0000 0.0000
Ir 0.0000 0.0000 0.0000
Tl 0.5000 0.5000 0.5000
Mg 0.0000 0.0000 0.5000